(1)
A plane-wave DFT calculation with GGA-PBE was carried out for crystalline K2TlSe at its relaxed geometry.

Summary:
Its symmetry is Amm2 (38). Its energy above the most stable polymorph in this dataset is 0.0000 eV/atom. For the density of states at the Fermi level, the calculation gives 2.1 states/eV/f.u. As for the raw formation energy: -0.62 eV per atom. Its spin magnetization is 0.00 Bohr magnetons per cell.

Structure (POSCAR):
```
K2TlSe
1.0
-4.995 -3.893 2.281
-0.631 -4.871 4.602
-1.014 3.204 3.256
Se Tl K
1 1 2
Direct
0.455 0.455 0.625 Se
0.305 0.305 0.125 Tl
0.729 0.729 0.625 K
0.011 0.011 0.125 K
```



(2)
A plane-wave DFT calculation with GGA-PBE was carried out for crystalline AcPm2Nd6Dy at its relaxed geometry.

Summary:
Its symmetry is C2/c (15). For the density of states at the Fermi level, the calculation gives 14.6 states/eV/f.u. Its spin magnetization is 0.00 Bohr magnetons per cell. For the total DFT energy (no corrections), the calculation gives -91.3 eV for the cell shown.

Structure (POSCAR):
```
AcPm2Nd6Dy
1.0
9.380 -2.092 -2.171
0.948 8.836 -2.127
0.948 -2.453 8.751
Nd Dy Ac Pm
12 2 2 4
Direct
0.883 0.291 0.503 Nd
0.117 0.709 0.497 Nd
0.946 0.872 0.250 Nd
0.383 0.503 0.291 Nd
0.554 0.750 0.128 Nd
0.054 0.128 0.750 Nd
0.313 0.986 0.438 Nd
0.813 0.438 0.986 Nd
0.446 0.250 0.872 Nd
0.687 0.014 0.562 Nd
0.617 0.497 0.709 Nd
0.187 0.562 0.014 Nd
0.750 0.589 0.411 Dy
0.250 0.411 0.589 Dy
0.750 0.024 0.976 Ac
0.250 0.976 0.024 Ac
0.954 0.687 0.800 Pm
0.546 0.200 0.313 Pm
0.454 0.800 0.687 Pm
0.046 0.313 0.200 Pm
```



(3)
A plane-wave DFT calculation with GGA-PBE was carried out for crystalline Ac4Te2PdRu at its relaxed geometry.

Summary:
Its symmetry is P2/m (10). For the density of states at the Fermi level, the calculation gives 4.8 states/eV/f.u. As for the raw formation energy: -0.95 eV per atom. Its spin magnetization is 0.00 Bohr magnetons per cell.

Structure (POSCAR):
```
Ac4Te2PdRu
1.0
-3.932 0.314 2.079
2.638 -4.507 5.669
1.714 7.936 2.042
Ac Pd Te Ru
4 1 2 1
Direct
0.500 0.251 0.213 Ac
0.000 0.727 0.212 Ac
0.000 0.273 0.788 Ac
0.500 0.749 0.787 Ac
0.000 0.000 0.000 Pd
0.000 0.500 0.500 Te
0.500 0.000 0.500 Te
0.500 0.500 0.000 Ru
```



(4)
A plane-wave DFT calculation with GGA-PBE was carried out for crystalline Na2CaTlPb2 at its relaxed geometry.

Summary:
Its symmetry is Pmc2_1 (26). For the density of states at the Fermi level, the calculation gives 3.1 states/eV/f.u. Its spin magnetization is 0.00 Bohr magnetons per cell. For the total DFT energy (no corrections), the calculation gives -31.4 eV for the cell shown.

Structure (POSCAR):
```
Na2CaTlPb2
1.0
-1.871 1.115 4.367
-2.241 -7.468 0.947
8.469 -2.017 4.143
Na Pb Ca Tl
4 4 2 2
Direct
0.500 0.547 0.934 Na
0.000 0.352 0.183 Na
0.000 0.852 0.817 Na
0.500 0.047 0.066 Na
0.000 0.267 0.862 Pb
0.500 0.754 0.624 Pb
0.500 0.254 0.376 Pb
0.000 0.767 0.138 Pb
0.000 0.975 0.449 Ca
0.000 0.475 0.551 Ca
0.500 0.651 0.313 Tl
0.500 0.151 0.687 Tl
```



(5)
A plane-wave DFT calculation with GGA-PBE was carried out for crystalline Cs2BaPtI6 at its relaxed geometry.

Summary:
Its symmetry is I4/mmm (139). For the density of states at the Fermi level, the calculation gives 1.3 states/eV/f.u. As for the raw formation energy: -1.04 eV per atom. Its spin magnetization is 1.99 Bohr magnetons per cell.

Structure (POSCAR):
```
Cs2BaPtI6
1.0
8.786 0.000 0.000
0.000 8.786 0.000
4.393 4.393 6.240
Cs I Ba Pt
2 6 1 1
Direct
0.750 0.250 0.500 Cs
0.250 0.750 0.500 Cs
0.771 0.771 0.458 I
0.228 0.772 0.000 I
0.229 0.229 0.542 I
0.228 0.228 0.000 I
0.772 0.228 0.000 I
0.772 0.772 0.000 I
0.500 0.500 0.000 Ba
0.000 0.000 0.000 Pt
```



(6)
A plane-wave DFT calculation with GGA-PBE was carried out for crystalline Ho2TcBr at its relaxed geometry.

Summary:
Its symmetry is R-3m (166). Its energy above the most stable polymorph in this dataset is 0.8020 eV/atom. For the density of states at the Fermi level, the calculation gives 3.5 states/eV/f.u. As for the raw formation energy: 0.20 eV per atom. Its spin magnetization is 1.36 Bohr magnetons per cell.

Structure (POSCAR):
```
Ho2TcBr
1.0
3.308 0.000 0.000
1.654 2.865 0.000
1.654 0.955 10.084
Ho Tc Br
2 1 1
Direct
0.913 0.913 0.261 Ho
0.087 0.087 0.739 Ho
0.000 0.000 0.000 Tc
0.500 0.500 0.500 Br
```